The following is a PBE calculation of crystalline Ho2TlSb at its relaxed geometry, from the Alexandria database.

DFT total energy ... -0.1637 hartree per atom
Total magnetization ... 0.00 μB per formula unit

abc: 4.9290 4.9290 6.0266
angles: 65.86 65.86 60.00
Atoms (fractional coordinates):
Sb  0.5000  0.5000  0.5000
Tl  0.0000  0.0000  0.0000
Ho  0.7497  0.7497  0.7509
Ho  0.2503  0.2503  0.2491